(w)
DFT (PBE-GGA) results for a relaxed TlPt2 crystal.

Cell lengths 4.459, 4.459, 4.459 Å; angles 60.00, 60.00, 60.00 degrees
Positions (direct):
1 Tl 0.000 0.000 0.000
2 Pt 0.250 0.250 0.250
3 Pt 0.750 0.750 0.750

Computed properties:
The space-group type is Fm-3m (225). The volume is 63 Å³/cell. The magnetization is 0.0000 μB per atom.

(x)
DFT (PBE-GGA) results for a relaxed TlPt2 crystal.

Cell lengths 5.530, 5.530, 7.146 Å; angles 85.39, 85.39, 31.17 degrees
Positions (direct):
1 Pt 0.960 0.960 0.036
2 Pt 0.601 0.601 0.282
3 Pt 0.723 0.723 0.617
4 Pt 0.332 0.332 0.320
5 Tl 0.987 0.987 0.622
6 Tl 0.231 0.231 0.957

Computed properties:
The space-group type is Cm (8). The volume is 113 Å³/cell. The magnetization is 0.0000 μB per atom.

Last place for stability: (w)

(w)
DFT (PBE-GGA) results for a relaxed TlPt2 crystal.

Cell lengths 7.544, 7.544, 7.544 Å; angles 144.69, 144.69, 50.80 degrees
Positions (direct):
1 Pt 0.409 0.409 0.000
2 Pt 0.591 0.591 0.000
3 Pt 0.341 0.841 0.500
4 Tl 0.000 0.000 0.000
5 Tl 0.750 0.250 0.500
6 Pt 0.159 0.659 0.500

Computed properties:
The space-group type is I4_1/amd (141). The volume is 143 Å³/cell. The magnetization is 0.0000 μB per atom.

(x)
DFT (PBE-GGA) results for a relaxed TlPt2 crystal.

Cell lengths 7.680, 7.680, 4.772 Å; angles 90.00, 90.00, 157.55 degrees
Positions (direct):
1 Pt 0.224 0.776 0.250
2 Pt 0.556 0.444 0.250
3 Tl 0.112 0.888 0.750
4 Tl 0.888 0.112 0.250
5 Pt 0.444 0.556 0.750
6 Pt 0.776 0.224 0.750

Computed properties:
The space-group type is Cmcm (63). The volume is 107 Å³/cell. The magnetization is 0.0000 μB per atom.

(y)
DFT (PBE-GGA) results for a relaxed TlPt2 crystal.

Cell lengths 5.481, 5.481, 5.481 Å; angles 60.00, 60.00, 60.00 degrees
Positions (direct):
1 Tl 0.875 0.875 0.375
2 Pt 0.000 0.500 0.000
3 Tl 0.125 0.125 0.625
4 Pt 0.500 0.000 0.000
5 Pt 0.500 0.500 0.500
6 Pt 0.500 0.500 0.000

Computed properties:
The space-group type is Fd-3m (227). The volume is 116 Å³/cell. The magnetization is 0.0000 μB per atom.

(z)
DFT (PBE-GGA) results for a relaxed TlPt2 crystal.

Cell lengths 6.270, 6.270, 6.810 Å; angles 66.57, 66.57, 27.46 degrees
Positions (direct):
1 Pt 0.535 0.535 0.270
2 Tl 0.150 0.150 0.886
3 Tl 0.850 0.850 0.114
4 Pt 0.465 0.465 0.730
5 Pt 0.167 0.167 0.444
6 Pt 0.833 0.833 0.556

Computed properties:
The space-group type is C2/m (12). The volume is 113 Å³/cell. The magnetization is 0.0000 μB per atom.

Last place for stability: (w)

(w)
DFT (PBE-GGA) results for a relaxed TlPt2 crystal.

Cell lengths 5.076, 5.076, 5.076 Å; angles 145.66, 132.57, 59.86 degrees
Positions (direct):
1 Pt 0.332 0.332 0.000
2 Pt 0.668 0.668 0.000
3 Tl 0.000 0.000 0.000

Computed properties:
The space-group type is Immm (71). The volume is 54 Å³/cell. The magnetization is 0.0000 μB per atom.

(x)
DFT (PBE-GGA) results for a relaxed TlPt2 crystal.

Cell lengths 3.832, 3.832, 4.303 Å; angles 90.00, 90.00, 90.00 degrees
Positions (direct):
1 Pt 0.500 0.000 0.500
2 Tl 0.000 0.000 0.000
3 Pt 0.000 0.500 0.500

Computed properties:
The space-group type is P4/mmm (123). The volume is 63 Å³/cell. The magnetization is 0.0000 μB per atom.

Last place for stability: (w)

(w)
DFT (PBE-GGA) results for a relaxed TlPt2 crystal.

Cell lengths 4.544, 4.544, 3.051 Å; angles 90.00, 90.00, 120.00 degrees
Positions (direct):
1 Pt 0.333 0.667 0.672
2 Tl 0.000 0.000 0.000
3 Pt 0.667 0.333 0.328

Computed properties:
The space-group type is P-3m1 (164). The volume is 55 Å³/cell. The magnetization is 0.0000 μB per atom.

(x)
DFT (PBE-GGA) results for a relaxed TlPt2 crystal.

Cell lengths 5.711, 5.711, 4.684 Å; angles 90.00, 90.00, 123.55 degrees
Positions (direct):
1 Pt 0.611 0.143 0.750
2 Tl 0.268 0.268 0.250
3 Pt 0.143 0.611 0.750
4 Pt 0.857 0.389 0.250
5 Tl 0.732 0.732 0.750
6 Pt 0.389 0.857 0.250

Computed properties:
The space-group type is Cmcm (63). The volume is 127 Å³/cell. The magnetization is 0.0000 μB per atom.

(y)
DFT (PBE-GGA) results for a relaxed TlPt2 crystal.

Cell lengths 6.154, 6.154, 6.154 Å; angles 151.19, 151.19, 41.20 degrees
Positions (direct):
1 Tl 0.000 0.000 0.000
2 Pt 0.669 0.669 0.000
3 Pt 0.331 0.331 0.000

Computed properties:
The space-group type is I4/mmm (139). The volume is 54 Å³/cell. The magnetization is 0.0000 μB per atom.

Last place for stability: (y)

(w)
DFT (PBE-GGA) results for a relaxed Tl2Pt3 crystal.

Cell lengths 5.733, 5.733, 14.170 Å; angles 90.00, 90.00, 120.00 degrees
Positions (direct):
1 Tl 0.333 0.667 0.750
2 Pt 0.332 0.166 0.414
3 Pt 0.834 0.166 0.086
4 Pt 0.166 0.834 0.914
5 Tl 0.333 0.667 0.407
6 Pt 0.166 0.332 0.914
7 Tl 0.000 0.000 0.750
8 Pt 0.668 0.834 0.586
9 Tl 0.000 0.000 0.250
10 Pt 0.166 0.332 0.586
11 Pt 0.834 0.668 0.086
12 Tl 0.667 0.333 0.907
13 Pt 0.332 0.166 0.086
14 Tl 0.333 0.667 0.093
15 Tl 0.667 0.333 0.250
16 Tl 0.667 0.333 0.593
17 Pt 0.834 0.668 0.414
18 Pt 0.166 0.834 0.586
19 Pt 0.668 0.834 0.914
20 Pt 0.834 0.166 0.414

Computed properties:
The space-group type is P6_3/mmc (194). The volume is 403 Å³/cell. The magnetization is 0.0000 μB per atom.

(x)
DFT (PBE-GGA) results for a relaxed Tl2Pt3 crystal.

Cell lengths 4.509, 4.509, 5.855 Å; angles 90.00, 90.00, 120.00 degrees
Positions (direct):
1 Tl 0.333 0.667 0.661
2 Tl 0.667 0.333 0.339
3 Pt 0.333 0.667 0.158
4 Pt 0.000 0.000 0.000
5 Pt 0.667 0.333 0.842

Computed properties:
The space-group type is P-3m1 (164). The volume is 103 Å³/cell. The magnetization is 0.0000 μB per atom.

Last place for stability: (x)

(w)
DFT (PBE-GGA) results for a relaxed Tl3Pt crystal.

Cell lengths 9.523, 9.523, 3.789 Å; angles 90.00, 90.00, 141.31 degrees
Positions (direct):
1 Tl 0.169 0.326 0.750
2 Tl 0.326 0.169 0.250
3 Tl 0.831 0.674 0.250
4 Tl 0.219 0.781 0.750
5 Pt 0.663 0.337 0.750
6 Tl 0.781 0.219 0.250
7 Pt 0.337 0.663 0.250
8 Tl 0.674 0.831 0.750

Computed properties:
The space-group type is Cmcm (63). The volume is 215 Å³/cell. The magnetization is 0.0000 μB per atom.

(x)
DFT (PBE-GGA) results for a relaxed Tl3Pt crystal.

Cell lengths 5.154, 5.154, 5.154 Å; angles 117.65, 117.65, 94.13 degrees
Positions (direct):
1 Tl 0.500 0.500 0.000
2 Tl 0.750 0.250 0.500
3 Tl 0.250 0.750 0.500
4 Pt 0.000 0.000 0.000

Computed properties:
The space-group type is I4/mmm (139). The volume is 100 Å³/cell. The magnetization is 0.0000 μB per atom.

(y)
DFT (PBE-GGA) results for a relaxed Tl3Pt crystal.

Cell lengths 7.959, 7.959, 3.466 Å; angles 90.00, 90.00, 94.47 degrees
Positions (direct):
1 Tl 0.166 0.834 0.250
2 Pt 0.597 0.403 0.250
3 Tl 0.163 0.410 0.250
4 Tl 0.834 0.166 0.750
5 Tl 0.837 0.590 0.750
6 Pt 0.403 0.597 0.750
7 Tl 0.410 0.163 0.750
8 Tl 0.590 0.837 0.250

Computed properties:
The space-group type is Cmcm (63). The volume is 219 Å³/cell. The magnetization is 0.0000 μB per atom.

(z)
DFT (PBE-GGA) results for a relaxed Tl3Pt crystal.

Cell lengths 3.823, 3.823, 8.816 Å; angles 90.00, 90.00, 120.00 degrees
Positions (direct):
1 Pt 0.000 0.000 0.000
2 Tl 0.667 0.333 0.201
3 Tl 0.667 0.333 0.799
4 Tl 0.000 0.000 0.500

Computed properties:
The space-group type is P-6m2 (187). The volume is 112 Å³/cell. The magnetization is 0.0000 μB per atom.

Last place for stability: (x)